# PBE RbPtO2, relaxed
data_RbPtO2
_chemical_formula_sum 'Rb4 Pt4 O8'
_space_group_name_H-M_alt 'I -4 2 d'
_space_group_IT_number 122
_space_group_name_Hall 'I -4 2bw'
_cell_length_a 5.3093
_cell_length_b 5.3093
_cell_length_c 11.3513
_cell_angle_alpha 90.00
_cell_angle_beta 90.00
_cell_angle_gamma 90.00
loop_
_atom_site_label
_atom_site_type_symbol
_atom_site_fract_x
_atom_site_fract_y
_atom_site_fract_z
Rb1 Rb 0.0000 0.0000 0.0000
Pt1 Pt 0.0000 0.0000 0.5000
O1 O 0.1109 0.2500 0.6250
# Total DFT energy (no corrections): -75.5 eV/cell
# Density: 6.5 Mg/m³
# Size of the total moment: 0.0 μB/cell
# Calculated volume: 20.0 Å³ per atom


# PBE Rb2PtO4, relaxed
data_Rb2PtO4
_chemical_formula_sum 'Rb4 Pt2 O8'
_space_group_name_H-M_alt 'I 4/m m m'
_space_group_IT_number 139
_space_group_name_Hall '-I 4 2'
_cell_length_a 4.1642
_cell_length_b 4.1642
_cell_length_c 14.0487
_cell_angle_alpha 90.00
_cell_angle_beta 90.00
_cell_angle_gamma 90.00
loop_
_atom_site_label
_atom_site_type_symbol
_atom_site_fract_x
_atom_site_fract_y
_atom_site_fract_z
Rb1 Rb 0.0000 0.0000 0.1477
Pt1 Pt 0.0000 0.0000 0.5000
O1 O 0.0000 0.0000 0.3643
O2 O 0.0000 0.5000 0.0000
# Total DFT energy (no corrections): -66.0 eV/cell
# Density: 5.9 Mg/m³
# Size of the total moment: 5.2 μB/cell
# ΔE to the lowest computed polymorph: 117.3 meV/atom
# Calculated volume: 17.4 Å³ per atom


# PBE RbPtO2, relaxed
data_RbPtO2
_chemical_formula_sum 'Rb3 Pt3 O6'
_space_group_name_H-M_alt 'R -3 m'
_space_group_IT_number 166
_space_group_name_Hall '-R 3 2"'
_cell_length_a 4.6061
_cell_length_b 4.6061
_cell_length_c 18.4564
_cell_angle_alpha 90.00
_cell_angle_beta 90.00
_cell_angle_gamma 120.00
loop_
_atom_site_label
_atom_site_type_symbol
_atom_site_fract_x
_atom_site_fract_y
_atom_site_fract_z
Rb1 Rb 0.0000 0.0000 0.0000
Pt1 Pt 0.0000 0.0000 0.5000
O1 O 0.0000 0.0000 0.4031
# Total DFT energy (no corrections): -58.4 eV/cell
# Density: 4.6 Mg/m³
# Size of the total moment: 3.0 μB/cell
# Calculated volume: 28.3 Å³ per atom


# PBE RbPt4O8, relaxed
data_RbPt4O8
_chemical_formula_sum 'Rb3 Pt12 O24'
_space_group_name_H-M_alt 'R -3 m'
_space_group_IT_number 166
_space_group_name_Hall '-R 3 2"'
_cell_length_a 6.4089
_cell_length_b 6.4089
_cell_length_c 20.0404
_cell_angle_alpha 90.00
_cell_angle_beta 90.00
_cell_angle_gamma 120.00
loop_
_atom_site_label
_atom_site_type_symbol
_atom_site_fract_x
_atom_site_fract_y
_atom_site_fract_z
Rb1 Rb 0.0000 0.0000 0.0000
Pt1 Pt 0.0000 0.0000 0.5000
Pt2 Pt 0.0000 0.5000 0.5000
O1 O 0.0000 0.0000 0.2136
O2 O 0.0011 0.5006 0.7857
# Total DFT energy (no corrections): -218.4 eV/cell
# Density: 6.9 Mg/m³
# Size of the total moment: 3.2 μB/cell
# Calculated volume: 18.3 Å³ per atom


# PBE Rb3PtO3, relaxed
data_Rb3PtO3
_chemical_formula_sum 'Rb9 Pt3 O9'
_space_group_name_H-M_alt 'R 3 m'
_space_group_IT_number 160
_space_group_name_Hall 'R 3 -2"'
_cell_length_a 10.5344
_cell_length_b 10.5344
_cell_length_c 5.4376
_cell_angle_alpha 90.00
_cell_angle_beta 90.00
_cell_angle_gamma 120.00
loop_
_atom_site_label
_atom_site_type_symbol
_atom_site_fract_x
_atom_site_fract_y
_atom_site_fract_z
Rb1 Rb 0.0418 0.5209 0.0000
Pt1 Pt 0.0000 0.0000 0.8329
O1 O 0.1063 0.2126 0.8268
# Total DFT energy (no corrections): -89.6 eV/cell
# Density: 4.8 Mg/m³
# Size of the total moment: 3.1 μB/cell
# Calculated volume: 24.9 Å³ per atom


# PBE RbPtO2, relaxed
data_RbPtO2
_chemical_formula_sum 'Rb4 Pt4 O8'
_space_group_name_H-M_alt 'F m -3 m'
_space_group_IT_number 225
_space_group_name_Hall '-F 4 2 3'
_cell_length_a 6.1465
_cell_length_b 6.1465
_cell_length_c 6.1465
_cell_angle_alpha 90.00
_cell_angle_beta 90.00
_cell_angle_gamma 90.00
loop_
_atom_site_label
_atom_site_type_symbol
_atom_site_fract_x
_atom_site_fract_y
_atom_site_fract_z
Rb1 Rb 0.0000 0.0000 0.0000
Pt1 Pt 0.0000 0.0000 0.5000
O1 O 0.2500 0.2500 0.2500
# Total DFT energy (no corrections): -60.0 eV/cell
# Density: 8.9 Mg/m³
# Size of the total moment: 6.7 μB/cell
# Calculated volume: 14.5 Å³ per atom


# PBE Rb2PtO, relaxed
data_Rb2PtO
_chemical_formula_sum 'Rb4 Pt2 O2'
_space_group_name_H-M_alt 'I m m m'
_space_group_IT_number 71
_space_group_name_Hall '-I 2 2'
_cell_length_a 4.1163
_cell_length_b 4.7075
_cell_length_c 10.8676
_cell_angle_alpha 90.00
_cell_angle_beta 90.00
_cell_angle_gamma 90.00
loop_
_atom_site_label
_atom_site_type_symbol
_atom_site_fract_x
_atom_site_fract_y
_atom_site_fract_z
Rb1 Rb 0.0000 0.0000 0.1507
Pt1 Pt 0.0000 0.0000 0.5000
O1 O 0.0000 0.5000 0.0000
# Total DFT energy (no corrections): -30.2 eV/cell
# Density: 6.0 Mg/m³
# Size of the total moment: 0.0 μB/cell
# Calculated volume: 26.3 Å³ per atom


# PBE Rb3PtO2, relaxed
data_Rb3PtO2
_chemical_formula_sum 'Rb12 Pt4 O8'
_space_group_name_H-M_alt 'I b a m'
_space_group_IT_number 72
_space_group_name_Hall '-I 2 2c'
_cell_length_a 6.3688
_cell_length_b 12.6727
_cell_length_c 8.0509
_cell_angle_alpha 90.00
_cell_angle_beta 90.00
_cell_angle_gamma 90.00
loop_
_atom_site_label
_atom_site_type_symbol
_atom_site_fract_x
_atom_site_fract_y
_atom_site_fract_z
Rb1 Rb 0.0000 0.0000 0.2500
Rb2 Rb 0.0000 0.2958 0.2500
Pt1 Pt 0.0000 0.5000 0.0000
O1 O 0.2262 0.3923 0.0000
# Total DFT energy (no corrections): -95.4 eV/cell
# Density: 4.9 Mg/m³
# Size of the total moment: 4.0 μB/cell
# Calculated volume: 27.1 Å³ per atom


# PBE RbPt4O7, relaxed
data_RbPt4O7
_chemical_formula_sum 'Rb2 Pt8 O14'
_space_group_name_H-M_alt 'P m n 21'
_space_group_IT_number 31
_space_group_name_Hall 'P 2ac -2'
_cell_length_a 14.9238
_cell_length_b 5.9382
_cell_length_c 4.7187
_cell_angle_alpha 90.00
_cell_angle_beta 90.00
_cell_angle_gamma 90.00
loop_
_atom_site_label
_atom_site_type_symbol
_atom_site_fract_x
_atom_site_fract_y
_atom_site_fract_z
Rb1 Rb 0.0000 0.1082 0.0000
Pt1 Pt 0.1163 0.6107 0.4757
Pt2 Pt 0.2037 0.1697 0.6373
O1 O 0.0000 0.7078 0.3338
O2 O 0.0908 0.2838 0.4758
O3 O 0.1912 0.8920 0.3996
O4 O 0.2085 0.4940 0.7194
# Total DFT energy (no corrections): -128.6 eV/cell
# Density: 7.8 Mg/m³
# Size of the total moment: 1.4 μB/cell
# Calculated volume: 17.4 Å³ per atom


# PBE Rb2PtO5, relaxed
data_Rb2PtO5
_chemical_formula_sum 'Rb4 Pt2 O10'
_space_group_name_H-M_alt 'I 4 m m'
_space_group_IT_number 107
_space_group_name_Hall 'I 4 -2'
_cell_length_a 6.6782
_cell_length_b 6.6782
_cell_length_c 7.6246
_cell_angle_alpha 90.00
_cell_angle_beta 90.00
_cell_angle_gamma 90.00
loop_
_atom_site_label
_atom_site_type_symbol
_atom_site_fract_x
_atom_site_fract_y
_atom_site_fract_z
Rb1 Rb 0.0000 0.5000 0.0000
Pt1 Pt 0.0000 0.0000 0.1929
O1 O 0.0000 0.0000 0.9595
O2 O 0.1897 0.1897 0.2699
# Total DFT energy (no corrections): -73.9 eV/cell
# Density: 4.4 Mg/m³
# Size of the total moment: 0.0 μB/cell
# Calculated volume: 21.3 Å³ per atom


# PBE Rb2PtO4, relaxed
data_Rb2PtO4
_chemical_formula_sum 'Rb4 Pt2 O8'
_space_group_name_H-M_alt 'C 1 2/m 1'
_space_group_IT_number 12
_space_group_name_Hall '-C 2y'
_cell_length_a 11.8206
_cell_length_b 3.2688
_cell_length_c 6.9417
_cell_angle_alpha 90.00
_cell_angle_beta 116.92
_cell_angle_gamma 90.00
loop_
_atom_site_label
_atom_site_type_symbol
_atom_site_fract_x
_atom_site_fract_y
_atom_site_fract_z
Rb1 Rb 0.1643 0.0000 0.1810
Pt1 Pt 0.0000 0.5000 0.5000
O1 O 0.0397 0.5000 0.7973
O2 O 0.1179 0.0000 0.5522
# Total DFT energy (no corrections): -67.7 eV/cell
# Density: 6.0 Mg/m³
# Size of the total moment: 4.0 μB/cell
# ΔE to the lowest computed polymorph: 0.0 meV/atom
# Calculated volume: 17.1 Å³ per atom


# PBE Rb8Pt3O8, relaxed
data_Rb8Pt3O8
_chemical_formula_sum 'Rb16 Pt6 O16'
_space_group_name_H-M_alt 'C 1 2/m 1'
_space_group_IT_number 12
_space_group_name_Hall '-C 2y'
_cell_length_a 20.7265
_cell_length_b 5.8034
_cell_length_c 8.3947
_cell_angle_alpha 90.00
_cell_angle_beta 106.24
_cell_angle_gamma 90.00
loop_
_atom_site_label
_atom_site_type_symbol
_atom_site_fract_x
_atom_site_fract_y
_atom_site_fract_z
Rb1 Rb 0.0255 0.0000 0.2470
Rb2 Rb 0.1089 0.5000 0.9389
Rb3 Rb 0.1700 0.5000 0.4539
Rb4 Rb 0.1981 0.0000 0.7695
Pt1 Pt 0.0000 0.5000 0.5000
Pt2 Pt 0.1837 0.0000 0.1820
O1 O 0.0215 0.5000 0.2974
O2 O 0.1063 0.0000 0.9914
O3 O 0.1854 0.0000 0.4125
O4 O 0.2211 0.5000 0.7992
# Total DFT energy (no corrections): -168.9 eV/cell
# Density: 4.8 Mg/m³
# Size of the total moment: 7.4 μB/cell
# Calculated volume: 25.5 Å³ per atom


Question: Which formula does entry 7 have?
Answer: Rb2PtO


Question: calculated volume of number 3 (RbPtO2)?
Answer: 28.3 Å³ per atom


Question: Which formula does entry 12 have?
Answer: Rb8Pt3O8


Question: Which of these has the highest calculated volume?
Answer: number 3